# TaInGaSi2, optimized geometry, DFT GGA-PBE
data_TaInGaSi2
_chemical_formula_sum 'Ta1 In1 Ga1 Si2'
_space_group_name_H-M_alt 'P 4/m m m'
_space_group_IT_number 123
_space_group_name_Hall '-P 4 2'
_cell_length_a 4.912
_cell_length_b 4.912
_cell_length_c 5.407
_cell_angle_alpha 90.00
_cell_angle_beta 90.00
_cell_angle_gamma 90.00
loop_
_atom_site_label
_atom_site_type_symbol
_atom_site_fract_x
_atom_site_fract_y
_atom_site_fract_z
Ta1 Ta 0.000 0.000 0.000
In1 In 0.000 0.000 0.500
Ga1 Ga 0.500 0.500 0.000
Si1 Si 0.000 0.500 0.500
# total moment: 0.298 μB per atom
# formation energy from raw total energies: 1702.3 meV per atom


# MnMo2Cl, optimized geometry, DFT GGA-PBE
data_MnMo2Cl
_chemical_formula_sum 'Mn2 Mo4 Cl2'
_space_group_name_H-M_alt 'I -4 m 2'
_space_group_IT_number 119
_space_group_name_Hall 'I -4 -2'
_cell_length_a 4.183
_cell_length_b 4.183
_cell_length_c 7.244
_cell_angle_alpha 90.00
_cell_angle_beta 90.00
_cell_angle_gamma 90.00
loop_
_atom_site_label
_atom_site_type_symbol
_atom_site_fract_x
_atom_site_fract_y
_atom_site_fract_z
Mn1 Mn 0.000 0.000 0.000
Mo1 Mo 0.000 0.000 0.500
Mo2 Mo 0.000 0.500 0.750
Cl1 Cl 0.000 0.500 0.250
# energy above the most stable polymorph in this dataset: 739 meV/atom
# total moment: 1.022 μB per atom
# formation energy from raw total energies: 909.8 meV per atom


# AcHgCO4, optimized geometry, DFT GGA-PBE
data_AcHgCO4
_chemical_formula_sum 'Ac4 Hg4 C4 O16'
_space_group_name_H-M_alt 'I m m a'
_space_group_IT_number 74
_space_group_name_Hall '-I 2b 2'
_cell_length_a 5.416
_cell_length_b 8.038
_cell_length_c 9.273
_cell_angle_alpha 90.00
_cell_angle_beta 90.00
_cell_angle_gamma 90.00
loop_
_atom_site_label
_atom_site_type_symbol
_atom_site_fract_x
_atom_site_fract_y
_atom_site_fract_z
Ac1 Ac 0.000 0.000 0.000
Hg1 Hg 0.250 0.250 0.250
C1 C 0.000 0.250 0.623
O1 O 0.000 0.104 0.703
O2 O 0.216 0.250 0.532
# total moment: 0.096 μB per atom
# formation energy from raw total energies: -1439.2 meV per atom


# KBa2BiH, optimized geometry, DFT GGA-PBE
data_KBa2BiH
_chemical_formula_sum 'K1 Ba2 Bi1 H1'
_space_group_name_H-M_alt 'P 4/m m m'
_space_group_IT_number 123
_space_group_name_Hall '-P 4 2'
_cell_length_a 5.647
_cell_length_b 5.647
_cell_length_c 5.326
_cell_angle_alpha 90.00
_cell_angle_beta 90.00
_cell_angle_gamma 90.00
loop_
_atom_site_label
_atom_site_type_symbol
_atom_site_fract_x
_atom_site_fract_y
_atom_site_fract_z
K1 K 0.000 0.000 0.000
Ba1 Ba 0.000 0.500 0.500
Bi1 Bi 0.500 0.500 0.000
H1 H 0.000 0.000 0.500
# total moment: 0.112 μB per atom
# final energy: -2.92 eV per atom